No. 1
Here is a relaxed structure of LaC3Se from Alexandria via LeMat-Bulk. Energies are from PBE.

## Properties
total magnetic moment = 0.00 μB per cell
ΔE_f (raw) = 1.701 eV per atom
crystal system = cubic
N(E_F) = 0.92 states/eV/atom
E = -27.6 eV/f.u.

```
5
Lattice="4.070 0.000 0.000 0.000 4.070 0.000 0.000 0.000 4.070" Properties=species:S:1:pos:R:3 pbc="T T T"
La 0.000 0.000 0.000
C 0.000 2.035 2.035
C 2.035 0.000 2.035
C 2.035 2.035 0.000
Se 2.035 2.035 2.035
```



No. 2
Here is a relaxed structure of ErTe3 from Alexandria via LeMat-Bulk. Energies are from PBE.

## Properties
total magnetic moment = 0.00 μB per cell
ΔE_f (raw) = -0.546 eV per atom
crystal system = orthorhombic
N(E_F) = 0.67 states/eV/atom
E = -16.2 eV/f.u.

```
4
Lattice="4.310 0.000 0.000 0.000 6.185 0.000 0.000 0.000 4.529" Properties=species:S:1:pos:R:3 pbc="T T T"
Er 0.000 0.000 0.000
Te 0.000 3.093 1.318
Te 2.155 0.000 2.114
Te 2.155 3.093 3.652
```